[1]
Material: RbRe2C
Method: DFT, PBE
State: relaxed

Computed properties:
As for the formation energy: 143 kJ per mole of atoms.

Cell lengths 6.331, 6.331, 8.937 Å; angles 90.00, 90.00, 90.00 degrees
Space group I4_1/amd (No. 141, origin choice 2)
One atom of each set of equivalent atoms:
Rb  0.000  0.250  0.375
Re  0.000  0.000  0.000
C  0.000  0.250  0.875

***

[2]
Material: RbReC2
Method: DFT, PBE
State: relaxed

Computed properties:
The value obtained for the energy above the most stable polymorph in this dataset is 0.000 eV/atom. As for the formation energy: 47 kJ per mole of atoms.

Cell lengths 8.810, 8.810, 8.810 Å; angles 90.00, 90.00, 90.00 degrees
Space group Fd-3m (No. 227, origin choice 2)
One atom of each set of equivalent atoms:
Rb  0.125  0.125  0.125
Re  0.125  0.125  0.625
C  0.000  0.000  0.500

***

[3]
Material: RbRe3C
Method: DFT, PBE
State: relaxed

Computed properties:
The value obtained for the energy above the most stable polymorph in this dataset is 0.000 eV/atom. As for the formation energy: 165 kJ per mole of atoms.

Cell lengths 4.303, 4.303, 4.303 Å; angles 90.00, 90.00, 90.00 degrees
Space group Pm-3m (No. 221)
One atom of each set of equivalent atoms:
Rb  0.000  0.000  0.000
Re  0.000  0.500  0.500
C  0.500  0.500  0.500

***

[4]
Material: RbReCSe2
Method: DFT, PBE
State: relaxed

Computed properties:
For the formation energy (no corrections), the calculation gives 1447 meV per atom.

Cell lengths 4.738, 4.738, 7.435 Å; angles 90.00, 90.00, 90.00 degrees
Space group P4/mmm (No. 123)
One atom of each set of equivalent atoms:
Rb  0.000  0.000  0.000
Re  0.000  0.000  0.500
C  0.500  0.500  0.000
Se  0.000  0.500  0.500

***

[5]
Material: Rb2VReC
Method: DFT, PBE
State: relaxed

Computed properties:
As for the formation energy: 188 kJ per mole of atoms.

Cell lengths 6.337, 6.337, 3.876 Å; angles 90.00, 90.00, 90.00 degrees
Space group P4/mmm (No. 123)
One atom of each set of equivalent atoms:
Rb  0.000  0.500  0.000
V  0.000  0.000  0.500
Re  0.500  0.500  0.500
C  0.000  0.000  0.000

***

[6]
Material: RbZr2ReC
Method: DFT, PBE
State: relaxed

Computed properties:
As for the formation energy: 362 kJ per mole of atoms.

Cell lengths 4.973, 4.973, 4.621 Å; angles 90.00, 90.00, 90.00 degrees
Space group P4/mmm (No. 123)
One atom of each set of equivalent atoms:
Rb  0.000  0.000  0.000
Zr  0.000  0.500  0.000
Re  0.000  0.000  0.500
C  0.500  0.500  0.500

***

[7]
Material: RbRhC2
Method: DFT, PBE
State: relaxed

Computed properties:
As for the formation energy: 90 kJ per mole of atoms.

Cell lengths 6.136, 6.136, 8.824 Å; angles 90.00, 90.00, 90.00 degrees
Space group I4_1/amd (No. 141, origin choice 2)
One atom of each set of equivalent atoms:
Rb  0.000  0.250  0.375
Rh  0.000  0.250  0.875
C  0.000  0.000  0.000

***

[8]
Material: RbRhC3
Method: DFT, PBE
State: relaxed

Computed properties:
The value obtained for the energy above the most stable polymorph in this dataset is 0.000 eV/atom. As for the formation energy: 210 kJ per mole of atoms.

Cell lengths 4.193, 4.193, 4.193 Å; angles 90.00, 90.00, 90.00 degrees
Space group Pm-3m (No. 221)
One atom of each set of equivalent atoms:
Rb  0.000  0.000  0.000
Rh  0.500  0.500  0.500
C  0.000  0.500  0.500